[1]
Below is LuCuRePb after structural relaxation, with properties calculated at the PBE level.

```
data_LuCuRePb
_chemical_formula_sum 'Lu4 Cu4 Re4 Pb4'
_space_group_name_H-M_alt 'F -4 3 m'
_space_group_IT_number 216
_space_group_name_Hall 'F -4 2 3'
_cell_length_a 6.731
_cell_length_b 6.731
_cell_length_c 6.731
_cell_angle_alpha 90.00
_cell_angle_beta 90.00
_cell_angle_gamma 90.00
loop_
_atom_site_label
_atom_site_fract_x
_atom_site_fract_y
_atom_site_fract_z
_atom_site_occupancy
Lu1 0.000 0.000 0.000 1
Cu1 0.250 0.250 0.750 1
Re1 0.250 0.250 0.250 1
Pb1 0.000 0.000 0.500 1
```

## Properties
Uncorrected energy = -90.74 eV/cell
V = 76.23 Å³/f.u.

[2]
Below is LuCuPbSeS2 after structural relaxation, with properties calculated at the PBE level.

```
data_LuCuPbSeS2
_chemical_formula_sum 'Lu4 Cu4 Pb4 Se4 S8'
_space_group_name_H-M_alt 'C m c m'
_space_group_IT_number 63
_space_group_name_Hall '-C 2c 2'
_cell_length_a 3.912
_cell_length_b 13.270
_cell_length_c 10.366
_cell_angle_alpha 90.00
_cell_angle_beta 90.00
_cell_angle_gamma 90.00
loop_
_atom_site_label
_atom_site_fract_x
_atom_site_fract_y
_atom_site_fract_z
_atom_site_occupancy
Lu1 0.000 0.000 0.000 1
Cu1 0.000 0.467 0.250 1
Pb1 0.000 0.232 0.750 1
Se1 0.000 0.085 0.250 1
S1 0.000 0.369 0.065 1
```

## Properties
Uncorrected energy = -120.09 eV/cell
V = 134.54 Å³/f.u.

[3]
Below is LuCuTe2PbS after structural relaxation, with properties calculated at the PBE level.

```
data_LuCuTe2PbS
_chemical_formula_sum 'Lu4 Cu4 Te8 Pb4 S4'
_space_group_name_H-M_alt 'C m c m'
_space_group_IT_number 63
_space_group_name_Hall '-C 2c 2'
_cell_length_a 4.158
_cell_length_b 14.441
_cell_length_c 10.234
_cell_angle_alpha 90.00
_cell_angle_beta 90.00
_cell_angle_gamma 90.00
loop_
_atom_site_label
_atom_site_fract_x
_atom_site_fract_y
_atom_site_fract_z
_atom_site_occupancy
Lu1 0.000 0.000 0.000 1
Cu1 0.000 0.481 0.250 1
Te1 0.000 0.355 0.061 1
Pb1 0.000 0.273 0.750 1
S1 0.000 0.063 0.250 1
```

## Properties
Uncorrected energy = -108.96 eV/cell
V = 153.65 Å³/f.u.

[4]
Below is LuCuTePbS2 after structural relaxation, with properties calculated at the PBE level.

```
data_LuCuTePbS2
_chemical_formula_sum 'Lu4 Cu4 Te4 Pb4 S8'
_space_group_name_H-M_alt 'C m c m'
_space_group_IT_number 63
_space_group_name_Hall '-C 2c 2'
_cell_length_a 3.971
_cell_length_b 13.852
_cell_length_c 10.807
_cell_angle_alpha 90.00
_cell_angle_beta 90.00
_cell_angle_gamma 90.00
loop_
_atom_site_label
_atom_site_fract_x
_atom_site_fract_y
_atom_site_fract_z
_atom_site_occupancy
Lu1 0.000 0.000 0.000 1
Cu1 0.000 0.473 0.250 1
Te1 0.000 0.101 0.250 1
Pb1 0.000 0.211 0.750 1
S1 0.000 0.380 0.071 1
```

## Properties
Uncorrected energy = -115.86 eV/cell
V = 148.60 Å³/f.u.

Which formula does entry 3 have?
LuCuTe2PbS

What is the formula in the third record?
LuCuTe2PbS

V of number 3 (LuCuTe2PbS)?
153.65 Å³/f.u.